Density functional theory data (PBE-GGA) for crystalline Tc2Ge3 at its relaxed geometry.

a b c (Å): 6.1304 6.2144 6.1304
angles (deg): 113.24 96.48 113.24
With the nearest neighbours (Å) after each atom.
Positions (direct):
Tc  0.1625  0.0000  0.8375  6 Ge 2.57-2.65, 2 Tc 2.64
Tc  0.8375  0.0000  0.1625  6 Ge 2.57-2.65, 2 Tc 2.64
Tc  0.5000  0.5000  0.0000  6 Ge 2.49-2.71, 2 Tc 2.64
Tc  0.0000  0.5000  0.5000  6 Ge 2.49-2.71, 2 Tc 2.64
Ge  0.1011  0.4084  0.1011  4 Tc 2.49-2.62, 1 Ge 2.50
Ge  0.8989  0.5916  0.8989  4 Tc 2.49-2.62, 1 Ge 2.50
Ge  0.2276  0.2154  0.5376  4 Tc 2.57-2.71, 3 Ge 2.83-2.85
Ge  0.4624  0.7846  0.7724  4 Tc 2.57-2.71, 3 Ge 2.83-2.85
Ge  0.5376  0.2154  0.2276  4 Tc 2.57-2.71, 3 Ge 2.83-2.85
Ge  0.7724  0.7846  0.4624  4 Tc 2.57-2.71, 3 Ge 2.83-2.85

Output
Spin magnetization: 0.00 Bohr magnetons per cell
Energy of formation: 0.201 eV/atom
Raw total energy: -67.16 eV for the cell shown